Entry 1:
Computed, not measured: a geometry-optimized ScAl2Tc structure at the GGA-PBE level of DFT.

Formation energy from the elements   0.079 eV/atom
Total magnetic moment   0.18 μB per formula unit
VASP energy   -5.967 eV/atom
E above lowest polymorph   493 meV/atom

a b c (Å): 5.379 9.756 2.813
angles (deg): 90.00 90.00 90.00
Space group Cmmm (No. 65)
Symmetry-distinct sites (fractional):
Sc 0.000 0.000 0.000 x2
Al 0.000 0.282 0.500 x4
Tc 0.000 0.500 0.000 x2



Entry 2:
Computed, not measured: a geometry-optimized Mg4ZnPt structure at the GGA-PBE level of DFT.

Formation energy from the elements   -0.410 eV/atom
Total magnetic moment   0.00 μB per formula unit
VASP energy   -2.693 eV/atom
E above lowest polymorph   0 meV/atom

a b c (Å): 12.269 12.269 12.269
angles (deg): 90.00 90.00 90.00
Space group F-43m (No. 216)
Symmetry-distinct sites (fractional):
Mg 0.000 0.000 0.191 x24
Mg 0.052 0.250 0.750 x24
Mg 0.135 0.135 0.365 x16
Zn 0.082 0.082 0.582 x16
Pt 0.150 0.150 0.150 x16



Entry 3:
Computed, not measured: a geometry-optimized Er8GaTe3Se3 structure at the GGA-PBE level of DFT.

Total magnetic moment   0.00 μB per formula unit
VASP energy   -5.188 eV/atom
E_form (uncorrected)   -1777 kJ/mol of formula units

a b c (Å): 8.2391 8.2391 20.9031
angles (deg): 90.00 90.00 120.00
Space group R-3m (No. 166, hexagonal axes)
Symmetry-distinct sites (fractional):
Er 0.0000 0.0000 0.2391 x6
Er 0.0025 0.5013 0.2409 x18
Ga 0.0000 0.0000 0.5000 x3
Te 0.0000 0.5000 0.0000 x9
Se 0.0000 0.5000 0.5000 x9



Entry 4:
Computed, not measured: a geometry-optimized TmTlV structure at the GGA-PBE level of DFT.

Formation energy from the elements   0.042 eV/atom
Total magnetic moment   0.00 μB per formula unit
VASP energy   -5.277 eV/atom

a b c (Å): 3.308 3.308 12.592
angles (deg): 90.00 90.00 90.00
Space group P4/nmm (No. 129, origin choice 2)
Symmetry-distinct sites (fractional):
Tm 0.250 0.250 0.196 x2
Tl 0.250 0.250 0.601 x2
V 0.250 0.250 0.960 x2



Entry 5:
Computed, not measured: a geometry-optimized BaMn2FeOs structure at the GGA-PBE level of DFT.

Formation energy from the elements   1.458 eV/atom
Total magnetic moment   11.58 μB per formula unit
VASP energy   -6.533 eV/atom

a b c (Å): 4.854 4.854 5.755
angles (deg): 90.00 90.00 90.00
Space group P4/mmm (No. 123)
Symmetry-distinct sites (fractional):
Ba 0.000 0.000 0.000 x1
Mn 0.000 0.500 0.500 x2
Fe 0.500 0.500 0.000 x1
Os 0.000 0.000 0.500 x1



Entry 6:
Computed, not measured: a geometry-optimized Ca2TmH6 structure at the GGA-PBE level of DFT.

Total magnetic moment   0.00 μB per formula unit
VASP energy   -3.372 eV/atom

a b c (Å): 7.853 7.853 7.853
angles (deg): 90.00 90.00 90.00
Space group Fm-3m (No. 225)
Symmetry-distinct sites (fractional):
Ca 0.250 0.250 0.250 x8
Tm 0.000 0.000 0.000 x4
H 0.000 0.000 0.265 x24



Entry 7:
Computed, not measured: a geometry-optimized Tb6Pm3NdTh2 structure at the GGA-PBE level of DFT.

Formation energy from the elements   0.025 eV/atom
Total magnetic moment   0.00 μB per formula unit
VASP energy   -5.112 eV/atom

a b c (Å): 6.249 10.817 11.832
angles (deg): 90.00 100.15 90.00
Space group C2/m (No. 12)
Symmetry-distinct sites (fractional):
Tb 0.244 0.000 0.246 x4
Tb 0.249 0.169 0.754 x8
Pm 0.000 0.000 0.500 x2
Pm 0.000 0.334 0.500 x4
Nd 0.000 0.500 0.000 x2
Th 0.000 0.167 0.000 x4



Entry 8:
Computed, not measured: a geometry-optimized ZrNi2P structure at the GGA-PBE level of DFT.

Formation energy from the elements   -0.407 eV/atom
Total magnetic moment   0.00 μB per formula unit
VASP energy   -6.787 eV/atom

a b c (Å): 3.970 3.970 7.039
angles (deg): 90.00 90.00 90.00
Space group I-4m2 (No. 119)
Symmetry-distinct sites (fractional):
Zr 0.000 0.000 0.000 x2
Ni 0.000 0.000 0.500 x2
Ni 0.000 0.500 0.750 x2
P 0.000 0.500 0.250 x2



Entry 9:
Computed, not measured: a geometry-optimized Ac7SmHo2 structure at the GGA-PBE level of DFT.

Formation energy from the elements   0.625 eV/atom
Total magnetic moment   0.00 μB per formula unit
VASP energy   -3.638 eV/atom

a b c (Å): 10.158 16.414 6.120
angles (deg): 90.00 90.00 90.00
Space group Cmmm (No. 65)
Symmetry-distinct sites (fractional):
Ac 0.000 0.000 0.000 x2
Ac 0.000 0.258 0.500 x4
Ac 0.185 0.376 0.000 x8
Sm 0.000 0.500 0.500 x2
Ho 0.000 0.201 0.000 x4



Entry 10:
Computed, not measured: a geometry-optimized Pm2Ho3Tm6 structure at the GGA-PBE level of DFT.

Formation energy from the elements   0.190 eV/atom
Total magnetic moment   0.00 μB per formula unit
VASP energy   -4.361 eV/atom
E above lowest polymorph   0 meV/atom

a b c (Å): 6.046 10.487 11.582
angles (deg): 90.00 100.10 90.00
Space group C2/m (No. 12)
Symmetry-distinct sites (fractional):
Pm 0.000 0.167 0.000 x4
Ho 0.000 0.000 0.500 x2
Ho 0.000 0.335 0.500 x4
Tm 0.249 0.167 0.747 x8
Tm 0.249 0.500 0.747 x4



Entry 11:
Computed, not measured: a geometry-optimized La2InP structure at the GGA-PBE level of DFT.

Formation energy from the elements   -0.681 eV/atom
Total magnetic moment   0.00 μB per formula unit
VASP energy   -5.182 eV/atom
E above lowest polymorph   276 meV/atom

a b c (Å): 4.047 5.089 5.266
angles (deg): 90.00 90.00 90.00
Space group Pmmm (No. 47)
Symmetry-distinct sites (fractional):
La 0.000 0.000 0.000 x1
La 0.000 0.500 0.500 x1
In 0.500 0.000 0.500 x1
P 0.500 0.500 0.000 x1



Entry 12:
Computed, not measured: a geometry-optimized Ce3NdPu2Se6 structure at the GGA-PBE level of DFT.

Total magnetic moment   14.45 μB per formula unit
VASP energy   -7.743 eV/atom
E_form (uncorrected)   -2004 kJ/mol of formula units

a b c (Å): 7.245 12.558 7.278
angles (deg): 90.00 109.38 90.00
Space group C2/m (No. 12)
Symmetry-distinct sites (fractional):
Ce 0.000 0.000 0.000 x2
Ce 0.000 0.335 0.000 x4
Nd 0.000 0.500 0.500 x2
Pu 0.000 0.167 0.500 x4
Se 0.243 0.000 0.746 x4
Se 0.248 0.169 0.253 x8



What is the total magnetic moment in the fifth record? 11.58 μB per formula unit